Entry 1:
Here is SiGe3O after structural relaxation from Alexandria via LeMat-Bulk. Energies are from PBE.

Cell lengths 4.4445, 4.4445, 4.4445 Å; angles 90.00, 90.00, 90.00 degrees
Closest atoms and distances in Å follow each position.
Sites, in units of the cell vectors:
Ge1 0.0000 0.0000 0.5000  2 O 2.22
Ge2 0.0000 0.5000 0.0000  2 O 2.22
Si1 0.5000 0.5000 0.5000  12 Ge 3.14
O1 0.0000 0.0000 0.0000  6 Ge 2.22
Ge3 0.5000 0.0000 0.0000  2 O 2.22

ΔE_f (raw): 0.88 eV/f.u.

=====

Entry 2:
Here is SiGe2O after structural relaxation from Alexandria via LeMat-Bulk. Energies are from PBE.

Cell lengths 4.9689, 4.9689, 6.8014 Å; angles 68.57, 68.57, 90.00 degrees
Closest atoms and distances in Å follow each position.
Sites, in units of the cell vectors:
O1 0.5000 0.5000 0.0000  4 Ge 2.14
Si1 0.7500 0.2500 0.5000  4 Ge 2.45
Ge1 0.1833 0.6250 0.2500  2 O 2.14
Si2 0.0000 0.0000 0.0000  4 Ge 2.45
Ge2 0.8750 0.8167 0.7500  2 O 2.14
Ge3 0.3750 0.4333 0.7500  2 O 2.14
O2 0.2500 0.7500 0.5000  4 Ge 2.14
Ge4 0.5667 0.1250 0.2500  2 O 2.14

Offset from the most stable computed form: 0.000 eV/atom
ΔE_f (raw): -0.46 eV/f.u.

=====

Entry 3:
Here is SiGeO2 after structural relaxation from Alexandria via LeMat-Bulk. Energies are from PBE.

Cell lengths 6.5397, 6.5397, 6.5397 Å; angles 26.77, 26.77, 26.77 degrees
Closest atoms and distances in Å follow each position.
Sites, in units of the cell vectors:
O1 0.0894 0.0894 0.0894  1 Si 1.69
Ge1 0.5000 0.5000 0.5000  6 O 2.28
O2 0.9106 0.9106 0.9106  1 Si 1.69
Si1 0.0000 0.0000 0.0000  2 O 1.69

Offset from the most stable computed form: 0.757 eV/atom
ΔE_f (raw): -3.53 eV/f.u.

=====

Entry 4:
Here is Si2GeO6 after structural relaxation from Alexandria via LeMat-Bulk. Energies are from PBE.

Cell lengths 5.2184, 7.7172, 7.7172 Å; angles 92.77, 70.43, 70.43 degrees
Closest atoms and distances in Å follow each position.
Sites, in units of the cell vectors:
O1 0.3449 0.4315 0.7853  1 Si 1.64, 1 Ge 1.75
O2 0.5553 0.0404 0.7487  1 Si 1.64, 1 Ge 1.75
O3 0.6551 0.5685 0.2147  1 Si 1.64, 1 Ge 1.75
Si1 0.6727 0.8191 0.6580  4 O 1.62-1.64
Si2 0.1727 0.6580 0.8191  4 O 1.62-1.64
O4 0.4447 0.9596 0.2513  1 Si 1.64, 1 Ge 1.75
O5 0.0997 0.2996 0.2515  2 Si 1.62-1.63
O6 0.4003 0.7485 0.7004  2 Si 1.62-1.63
O7 0.9003 0.7004 0.7485  2 Si 1.62-1.63
Ge1 0.7500 0.7639 0.2361  4 O 1.75
O8 0.9447 0.2513 0.9596  1 Si 1.64, 1 Ge 1.75
Si3 0.3273 0.1809 0.3420  4 O 1.62-1.64
O9 0.5997 0.2515 0.2996  2 Si 1.62-1.63
Si4 0.8273 0.3420 0.1809  4 O 1.62-1.64
O10 0.0553 0.7487 0.0404  1 Si 1.64, 1 Ge 1.75
Ge2 0.2500 0.2361 0.7639  4 O 1.75
O11 0.8449 0.7853 0.4315  1 Si 1.64, 1 Ge 1.75
O12 0.1551 0.2147 0.5685  1 Si 1.64, 1 Ge 1.75

ΔE_f (raw): -21.48 eV/f.u.

=====

Entry 5:
Here is SiGeO2 after structural relaxation from Alexandria via LeMat-Bulk. Energies are from PBE.

Cell lengths 8.6588, 8.6588, 8.6588 Å; angles 17.92, 17.92, 17.92 degrees
Closest atoms and distances in Å follow each position.
Sites, in units of the cell vectors:
O1 0.8689 0.8689 0.8689  3 Si 1.80
O2 0.1311 0.1311 0.1311  3 Si 1.80
Ge1 0.0000 0.0000 0.0000  6 Ge 2.70
Si1 0.5000 0.5000 0.5000  6 O 1.80

Offset from the most stable computed form: 0.000 eV/atom
ΔE_f (raw): -6.56 eV/f.u.

=====

Entry 6:
Here is SiGe2O after structural relaxation from Alexandria via LeMat-Bulk. Energies are from PBE.

Cell lengths 4.3387, 4.3387, 4.3387 Å; angles 60.00, 60.00, 60.00 degrees
Closest atoms and distances in Å follow each position.
Sites, in units of the cell vectors:
O1 0.0000 0.0000 0.0000  8 Ge 2.66
Ge1 0.7500 0.7500 0.7500  4 Si 2.66, 4 O 2.66
Ge2 0.2500 0.2500 0.2500  4 O 2.66, 4 Si 2.66
Si1 0.5000 0.5000 0.5000  8 Ge 2.66

Offset from the most stable computed form: 0.371 eV/atom
ΔE_f (raw): 1.02 eV/f.u.

=====

Entry 7:
Here is SiGeO2 after structural relaxation from Alexandria via LeMat-Bulk. Energies are from PBE.

Cell lengths 4.0530, 4.0530, 4.0530 Å; angles 60.00, 60.00, 60.00 degrees
Closest atoms and distances in Å follow each position.
Sites, in units of the cell vectors:
Ge1 0.5000 0.5000 0.5000  8 O 2.48
Si1 0.0000 0.0000 0.0000  8 O 2.48
O1 0.2500 0.2500 0.2500  4 Ge 2.48, 4 Si 2.48
O2 0.7500 0.7500 0.7500  4 Ge 2.48, 4 Si 2.48

Offset from the most stable computed form: 1.509 eV/atom
ΔE_f (raw): -0.52 eV/f.u.

=====

Entry 8:
Here is SiGeO2 after structural relaxation from Alexandria via LeMat-Bulk. Energies are from PBE.

Cell lengths 5.3371, 5.3371, 5.3379 Å; angles 60.00, 60.00, 90.00 degrees
Closest atoms and distances in Å follow each position.
Sites, in units of the cell vectors:
Si1 0.5000 0.5000 0.0000  4 O 1.63
Si2 0.2500 0.7500 0.5000  4 O 1.63
Ge1 0.0000 0.0000 0.0000  12 O 3.13, 4 Ge 3.27, 4 Si 3.27
O1 0.3746 0.6250 0.2500  2 Si 1.63
O2 0.3754 0.1250 0.2500  2 Si 1.63
Ge2 0.7500 0.2500 0.5000  12 O 3.13, 4 Ge 3.27, 4 Si 3.27
O3 0.8750 0.6254 0.7500  2 Si 1.63
O4 0.3750 0.6246 0.7500  2 Si 1.63

Offset from the most stable computed form: 0.237 eV/atom
ΔE_f (raw): -5.61 eV/f.u.

=====

Entry 9:
Here is SiGeTe2O after structural relaxation from Alexandria via LeMat-Bulk. Energies are from PBE.

Cell lengths 5.5783, 3.6315, 5.5783 Å; angles 90.00, 90.00, 90.00 degrees
Closest atoms and distances in Å follow each position.
Sites, in units of the cell vectors:
O1 0.0000 0.5000 0.0000  2 Ge 1.82
Te1 0.5000 0.0000 0.0000  2 Ge 2.79
Ge1 0.0000 0.0000 0.0000  2 O 1.82
Te2 0.0000 0.0000 0.5000  2 Ge 2.79
Si1 0.5000 0.5000 0.5000  8 Te 3.33, 2 Si 3.63

ΔE_f (raw): 0.64 eV/f.u.

=====

Question: Which value of ΔE_f (raw) does entry 4 give?
Answer: -21.48 eV/f.u.